1.
Compound: Ti3Cu2NiP6O24
Source: the Alexandria database
Functional: meta-GGA SCAN
Structure: single point on PBEsol structure

Lattice parameters (Å, degrees): 8.4253 8.4253 8.4253 60.87 60.87 60.87
Fractional coordinates of all 36 atoms:
Ti1 0.0000 0.0000 0.0000
Ti2 0.2154 0.2154 0.2154
Ti3 0.5012 0.5012 0.5012
Cu1 0.3571 0.3571 0.3571
Cu2 0.8573 0.8573 0.8573
Ni1 0.7178 0.7178 0.7178
P1 0.1064 0.8140 0.4039
P2 0.3190 0.6107 0.9012
P3 0.4039 0.1064 0.8140
P4 0.6107 0.9012 0.3190
P5 0.8140 0.4039 0.1064
P6 0.9012 0.3190 0.6107
O1 0.0431 0.8593 0.2385
O2 0.1010 0.2868 0.4507
O3 0.1218 0.7760 0.9058
O4 0.1842 0.9726 0.3474
O5 0.2385 0.0431 0.8593
O6 0.2679 0.6159 0.4192
O7 0.2868 0.4507 0.1010
O8 0.3474 0.1842 0.9726
O9 0.3653 0.5409 0.7393
O10 0.4192 0.2679 0.6159
O11 0.4507 0.1010 0.2868
O12 0.4765 0.6684 0.8721
O13 0.5409 0.7393 0.3653
O14 0.5967 0.9442 0.8124
O15 0.6159 0.4192 0.2679
O16 0.6684 0.8721 0.4765
O17 0.7393 0.3653 0.5409
O18 0.7760 0.9058 0.1218
O19 0.8124 0.5967 0.9442
O20 0.8593 0.2385 0.0431
O21 0.8721 0.4765 0.6684
O22 0.9058 0.1218 0.7760
O23 0.9442 0.8124 0.5967
O24 0.9726 0.3474 0.1842

## Properties
* raw total energy: -10.93 eV/atom
* raw formation energy: -86.82 eV/f.u.

2.
Compound: V3Cu2NiP6O24
Source: the Alexandria database
Functional: meta-GGA SCAN
Structure: single point on PBEsol structure

Lattice parameters (Å, degrees): 8.3829 8.3829 8.3829 60.65 60.65 60.65
Fractional coordinates of all 36 atoms:
V1 0.0000 0.0000 0.0000
V2 0.2178 0.2178 0.2178
V3 0.7163 0.7163 0.7163
Cu1 0.3596 0.3596 0.3596
Cu2 0.8595 0.8595 0.8595
Ni1 0.4969 0.4969 0.4969
P1 0.1067 0.8178 0.3989
P2 0.3165 0.6058 0.8960
P3 0.3989 0.1067 0.8178
P4 0.6058 0.8960 0.3165
P5 0.8178 0.3989 0.1067
P6 0.8960 0.3165 0.6058
O1 0.0246 0.8778 0.2409
O2 0.0930 0.3098 0.4362
O3 0.1160 0.7676 0.9373
O4 0.1636 0.9861 0.3603
O5 0.2409 0.0246 0.8778
O6 0.2716 0.6271 0.3959
O7 0.3098 0.4362 0.0930
O8 0.3386 0.5590 0.7344
O9 0.3603 0.1636 0.9861
O10 0.3959 0.2716 0.6271
O11 0.4362 0.0930 0.3098
O12 0.4842 0.6685 0.8530
O13 0.5590 0.7344 0.3386
O14 0.5984 0.9422 0.7973
O15 0.6271 0.3958 0.2716
O16 0.6685 0.8530 0.4842
O17 0.7344 0.3386 0.5590
O18 0.7676 0.9373 0.1160
O19 0.7973 0.5984 0.9422
O20 0.8530 0.4842 0.6685
O21 0.8778 0.2409 0.0246
O22 0.9373 0.1160 0.7676
O23 0.9422 0.7973 0.5984
O24 0.9861 0.3603 0.1636

## Properties
* raw total energy: -10.86 eV/atom
* raw formation energy: -79.88 eV/f.u.

3.
Compound: Cu2NiSnO4
Source: the Alexandria database
Functional: meta-GGA SCAN
Structure: single point on PBEsol structure

Lattice parameters (Å, degrees): 5.2943 3.1484 6.0159 90.00 107.51 90.00
Fractional coordinates of all 8 atoms:
Cu1 0.0000 0.0000 0.0000
Cu2 0.5000 0.5000 0.0000
Ni1 0.0000 0.5000 0.5000
Sn1 0.5000 0.0000 0.5000
O1 0.1037 0.0000 0.3199
O2 0.3922 0.5000 0.6829
O3 0.6078 0.5000 0.3171
O4 0.8963 0.0000 0.6801

## Properties
* raw total energy: -14.61 eV/atom
* raw formation energy: -9.43 eV/f.u.